(1)
The following is a DFT calculation (PBE) of a geometry-optimized CeFe4Ag structure.

Space-group type: No. 216
ΔE_f, eV per formula unit: 0.5

Lattice parameters (Å, degrees): 5.069 5.069 5.069 60.00 60.00 60.00
Fractional coordinates of all 6 atoms:
Ce 0.000 0.000 0.000
Fe 0.376 0.376 0.376
Fe 0.376 0.376 0.873
Fe 0.376 0.873 0.376
Fe 0.873 0.376 0.376
Ag 0.750 0.750 0.750


(2)
The following is a DFT calculation (PBE) of a geometry-optimized Ce2FeAg structure.

Space-group type: No. 160
ΔE_f, eV per formula unit: 0.2
ΔE to the lowest computed polymorph, meV/atom: 60

Lattice parameters (Å, degrees): 3.853 3.853 22.359 90.00 90.00 120.00
Fractional coordinates of all 12 atoms:
Ce 0.000 0.000 0.000
Ce 0.000 0.000 0.204
Ce 0.333 0.667 0.667
Ce 0.333 0.667 0.871
Ce 0.667 0.333 0.333
Ce 0.667 0.333 0.537
Fe 0.000 0.000 0.602
Fe 0.333 0.667 0.269
Fe 0.667 0.333 0.935
Ag 0.000 0.000 0.769
Ag 0.333 0.667 0.435
Ag 0.667 0.333 0.102


(3)
The following is a DFT calculation (PBE) of a geometry-optimized Ce2FeAg structure.

Space-group type: No. 123
ΔE_f, eV per formula unit: -0.1
ΔE to the lowest computed polymorph, meV/atom: 0

Lattice parameters (Å, degrees): 3.242 3.242 8.213 90.00 90.00 90.00
Fractional coordinates of all 4 atoms:
Ce 0.000 0.000 0.210
Ce 0.000 0.000 0.790
Fe 0.500 0.500 0.000
Ag 0.500 0.500 0.500


(4)
The following is a DFT calculation (PBE) of a geometry-optimized CeFeAg structure.

Space-group type: No. 12
ΔE_f, eV per formula unit: -0.3

Lattice parameters (Å, degrees): 13.012 4.156 4.654 90.00 108.60 90.00
Fractional coordinates of all 12 atoms:
Ce 0.140 0.000 0.372
Ce 0.360 0.500 0.628
Ce 0.640 0.500 0.372
Ce 0.860 0.000 0.628
Fe 0.212 0.000 0.839
Fe 0.288 0.500 0.161
Fe 0.712 0.500 0.839
Fe 0.788 0.000 0.161
Ag 0.072 0.500 0.818
Ag 0.428 0.000 0.182
Ag 0.572 0.000 0.818
Ag 0.928 0.500 0.182


(5)
The following is a DFT calculation (PBE) of a geometry-optimized Ce3FeAg3Se8 structure.

Space-group type: No. 166
Formation energy without anion corrections, eV per atom: -0.88

Lattice parameters (Å, degrees): 8.034 8.034 8.034 62.12 62.12 62.12
Fractional coordinates of all 15 atoms:
Ce 0.000 0.500 0.500
Ce 0.500 0.000 0.500
Ce 0.500 0.500 0.000
Fe 0.000 0.000 0.000
Ag 0.000 0.000 0.500
Ag 0.000 0.500 0.000
Ag 0.500 0.000 0.000
Se 0.213 0.782 0.782
Se 0.218 0.218 0.787
Se 0.218 0.787 0.218
Se 0.250 0.250 0.250
Se 0.750 0.750 0.750
Se 0.782 0.213 0.782
Se 0.782 0.782 0.213
Se 0.787 0.218 0.218


(6)
The following is a DFT calculation (PBE) of a geometry-optimized CeGa2Ag structure.

Space-group type: No. 225
ΔE_f, eV per formula unit: -1.4
ΔE to the lowest computed polymorph, meV/atom: 102

Lattice parameters (Å, degrees): 6.906 6.906 6.906 90.00 90.00 90.00
Fractional coordinates of all 16 atoms:
Ce 0.000 0.000 0.000
Ce 0.000 0.500 0.500
Ce 0.500 0.000 0.500
Ce 0.500 0.500 0.000
Ga 0.250 0.250 0.250
Ga 0.250 0.250 0.750
Ga 0.250 0.750 0.250
Ga 0.250 0.750 0.750
Ga 0.750 0.250 0.250
Ga 0.750 0.250 0.750
Ga 0.750 0.750 0.250
Ga 0.750 0.750 0.750
Ag 0.000 0.000 0.500
Ag 0.000 0.500 0.000
Ag 0.500 0.000 0.000
Ag 0.500 0.500 0.500


(7)
The following is a DFT calculation (PBE) of a geometry-optimized CeGa2Ag3 structure.

Space-group type: No. 12
ΔE_f, eV per formula unit: -1.4

Lattice parameters (Å, degrees): 8.588 8.588 7.687 116.44 116.44 29.11
Fractional coordinates of all 12 atoms:
Ce 0.143 0.143 0.220
Ce 0.857 0.857 0.780
Ga 0.207 0.207 0.683
Ga 0.483 0.483 0.138
Ga 0.517 0.517 0.862
Ga 0.793 0.793 0.317
Ag 0.046 0.046 0.706
Ag 0.313 0.313 0.074
Ag 0.396 0.396 0.492
Ag 0.604 0.604 0.508
Ag 0.687 0.687 0.926
Ag 0.954 0.954 0.294


(8)
The following is a DFT calculation (PBE) of a geometry-optimized Ce2Ga6Ag3 structure.

Space-group type: No. 65
ΔE_f, eV per formula unit: -2.6

Lattice parameters (Å, degrees): 7.585 7.585 4.091 90.00 90.00 98.70
Fractional coordinates of all 11 atoms:
Ce 0.205 0.795 0.000
Ce 0.795 0.205 0.000
Ga 0.119 0.119 0.500
Ga 0.148 0.460 0.500
Ga 0.460 0.148 0.500
Ga 0.540 0.852 0.500
Ga 0.852 0.540 0.500
Ga 0.881 0.881 0.500
Ag 0.291 0.291 0.000
Ag 0.500 0.500 0.500
Ag 0.709 0.709 0.000


(9)
The following is a DFT calculation (PBE) of a geometry-optimized Ce2Ga3Ag2 structure.

Space-group type: No. 63
ΔE_f, eV per formula unit: -2.8
ΔE to the lowest computed polymorph, meV/atom: 0

Lattice parameters (Å, degrees): 9.755 9.755 7.324 90.00 90.00 154.01
Fractional coordinates of all 14 atoms:
Ce 0.055 0.945 0.750
Ce 0.155 0.845 0.250
Ce 0.845 0.155 0.750
Ce 0.945 0.055 0.250
Ga 0.227 0.773 0.750
Ga 0.442 0.558 0.577
Ga 0.442 0.558 0.923
Ga 0.558 0.442 0.077
Ga 0.558 0.442 0.423
Ga 0.773 0.227 0.250
Ag 0.313 0.687 0.056
Ag 0.313 0.687 0.444
Ag 0.687 0.313 0.556
Ag 0.687 0.313 0.944


(10)
The following is a DFT calculation (PBE) of a geometry-optimized Ce2GaAg5 structure.

Space-group type: No. 63
ΔE_f, eV per formula unit: -1.1

Lattice parameters (Å, degrees): 8.697 8.697 9.702 90.00 90.00 150.41
Fractional coordinates of all 16 atoms:
Ce 0.000 0.000 0.000
Ce 0.000 0.000 0.500
Ce 0.191 0.809 0.750
Ce 0.809 0.191 0.250
Ga 0.453 0.547 0.250
Ga 0.547 0.453 0.750
Ag 0.195 0.805 0.106
Ag 0.195 0.805 0.394
Ag 0.361 0.639 0.033
Ag 0.361 0.639 0.467
Ag 0.393 0.607 0.750
Ag 0.607 0.393 0.250
Ag 0.639 0.361 0.533
Ag 0.639 0.361 0.967
Ag 0.805 0.195 0.606
Ag 0.805 0.195 0.894


(11)
The following is a DFT calculation (PBE) of a geometry-optimized Ce2Ga2Ag3 structure.

Space-group type: No. 63
ΔE_f, eV per formula unit: -1.6
ΔE to the lowest computed polymorph, meV/atom: 8

Lattice parameters (Å, degrees): 10.341 10.341 7.171 90.00 90.00 155.46
Fractional coordinates of all 14 atoms:
Ce 0.056 0.944 0.750
Ce 0.165 0.835 0.250
Ce 0.835 0.165 0.750
Ce 0.944 0.056 0.250
Ga 0.313 0.687 0.057
Ga 0.313 0.687 0.443
Ga 0.687 0.313 0.557
Ga 0.687 0.313 0.943
Ag 0.220 0.780 0.750
Ag 0.437 0.563 0.561
Ag 0.437 0.563 0.939
Ag 0.563 0.437 0.061
Ag 0.563 0.437 0.439
Ag 0.780 0.220 0.250


(12)
The following is a DFT calculation (PBE) of a geometry-optimized Ce3Ga8Ag3 structure.

Space-group type: No. 71
ΔE_f, eV per formula unit: -6.0

Lattice parameters (Å, degrees): 8.496 8.496 8.496 149.50 113.73 74.69
Fractional coordinates of all 14 atoms:
Ce 0.000 0.000 0.000
Ce 0.295 0.295 0.000
Ce 0.705 0.705 0.000
Ga 0.023 0.658 0.365
Ga 0.139 0.856 0.283
Ga 0.293 0.658 0.635
Ga 0.427 0.144 0.283
Ga 0.573 0.856 0.717
Ga 0.707 0.342 0.365
Ga 0.861 0.144 0.717
Ga 0.977 0.342 0.635
Ag 0.307 0.500 0.807
Ag 0.500 0.000 0.500
Ag 0.693 0.500 0.193